VASP calculation (PBE+U) on WO2 after structural relaxation.

```
WO2
1.0
3.318 0.000 0.000
-1.818 2.775 0.000
0.000 0.000 11.092
O W
4 2
Direct
0.334 0.666 0.915
0.666 0.334 0.085
0.334 0.666 0.585
0.666 0.334 0.415
0.000 0.000 0.000
0.000 0.000 0.500
```

Volume (Å³/f.u.): 51.1
Electronic total energy (Ha/atom): -0.275